Model P:
Density functional theory data (PBE-GGA) for a relaxed DyScCdAu crystal.

a b c (Å): 7.142 7.142 7.142
angles (deg): 90.00 90.00 90.00
Space group F-43m (No. 216)
Symmetry-distinct sites (fractional):
Dy 0.000 0.000 0.000 [4 per cell]
Sc 0.000 0.000 0.500 [4 per cell]
Cd 0.250 0.250 0.250 [4 per cell]
Au 0.250 0.250 0.750 [4 per cell]

Magnetic moment = 0.00 μB per cell

Model Q:
Density functional theory data (PBE-GGA) for a relaxed DyScCdAu crystal.

a b c (Å): 3.579 3.579 7.094
angles (deg): 90.00 90.00 90.00
Space group P4mm (No. 99)
Symmetry-distinct sites (fractional):
Dy 0.000 0.000 0.000 [1 per cell]
Sc 0.000 0.000 0.473 [1 per cell]
Cd 0.500 0.500 0.715 [1 per cell]
Au 0.500 0.500 0.259 [1 per cell]

Magnetic moment = 0.00 μB per cell

Most stable pick: model Q. Distance to second place: 3.4 kJ/mol of atoms.